Entry 1:
Material: Ho5Pb4Se
Method: DFT, PBE
State: relaxed

Summary:
Space-group type ... No. 87
Formation energy without anion corrections ... -641 meV/atom
Uncorrected energy ... -4.762 eV per atom

Unit cell a=6.1815 b=7.5503 c=7.5503 alpha=80.35 beta=65.84 gamma=65.84
Positions (direct):
Ho 0.9026 0.3815 0.8153
Ho 0.2841 0.8153 0.6185
Ho 0.7179 0.1847 0.3815
Ho 0.0994 0.6185 0.1847
Ho 0.5010 0.0000 0.0000
Pb 0.4076 0.3987 0.7882
Pb 0.8062 0.7882 0.6013
Pb 0.1958 0.2118 0.3987
Pb 0.5945 0.6013 0.2118
Se 0.0012 0.0000 0.0000

***

Entry 2:
Material: Hg4B2C
Method: DFT, PBE
State: relaxed

Summary:
Space-group type ... No. 139
Uncorrected energy ... -2.338 eV per atom
Formation enthalpy at 0 K ... 1.06 eV per atom

Unit cell a=5.1741 b=5.1741 c=6.2096 alpha=65.38 beta=65.38 gamma=90.00
Positions (direct):
C 0.0000 0.0000 0.0000
B 0.5770 0.5770 0.8460
B 0.4230 0.4230 0.1540
Hg 0.7868 0.7868 0.4264
Hg 0.2132 0.2132 0.5736
Hg 0.0000 0.5000 0.0000
Hg 0.5000 0.0000 0.0000